Record 1
DFT (PBE-GGA) results for a geometry-optimized ZrTl4Mo structure.

a b c (Å): 8.4786 8.4786 8.4786
angles (deg): 90.00 90.00 90.00
Last column: nearest neighbours and their distance in Å.
Space group F-43m (No. 216)
Symmetry-distinct sites (fractional):
Zr1 0.0000 0.0000 0.0000  12 Tl 3.52, 4 Mo 3.67
Tl1 0.1248 0.1248 0.3752  6 Tl 2.99-3.00
Mo1 0.2500 0.2500 0.7500  12 Tl 3.51, 4 Zr 3.67

Results
For the density of states at the Fermi level, the calculation gives 4.38 states/eV/f.u. Its formation energy is 918 meV/atom.

---

Record 2
DFT (PBE-GGA) results for a geometry-optimized Zr3TlMo structure.

a b c (Å): 5.0679 5.0679 5.0679
angles (deg): 90.00 90.00 90.00
Last column: nearest neighbours and their distance in Å.
Space group Pm-3m (No. 221)
Symmetry-distinct sites (fractional):
Zr1 0.0000 0.0000 0.5000  2 Mo 2.53
Tl1 0.5000 0.5000 0.5000  12 Zr 3.58
Mo1 0.0000 0.0000 0.0000  6 Zr 2.53

Results
As for the relative energy among the computed polymorphs: 0.000 eV per atom. For the density of states at the Fermi level, the calculation gives 8.53 states/eV/f.u. Its formation energy is 625 meV/atom.

---

Record 3
DFT (PBE-GGA) results for a geometry-optimized Zr2TlMo structure.

a b c (Å): 3.3240 3.3240 27.5422
angles (deg): 90.00 90.00 120.00
Last column: nearest neighbours and their distance in Å.
Space group R-3m (No. 166, hexagonal axes)
Symmetry-distinct sites (fractional):
Zr1 0.0000 0.0000 0.2393  3 Mo 2.77
Tl1 0.0000 0.0000 0.0000  6 Zr 3.22, 6 Tl 3.32
Mo1 0.0000 0.0000 0.5000  6 Zr 2.77

Results
As for the relative energy among the computed polymorphs: 0.165 eV per atom. For the density of states at the Fermi level, the calculation gives 3.16 states/eV/f.u. Its formation energy is 68 meV/atom.

---

Record 4
DFT (PBE-GGA) results for a geometry-optimized Zr2TlMo structure.

a b c (Å): 2.9865 2.9865 9.4934
angles (deg): 90.00 90.00 90.00
Last column: nearest neighbours and their distance in Å.
Space group P4mm (No. 99)
Symmetry-distinct sites (fractional):
Zr1 0.0000 0.0000 0.0000  8 Zr 2.99-3.24, 4 Tl 3.27
Zr2 0.5000 0.5000 0.2584  8 Zr 2.99-3.24, 4 Mo 3.14
Tl1 0.5000 0.5000 0.7370  4 Tl 2.99, 4 Mo 3.07, 4 Zr 3.27
Mo1 0.0000 0.0000 0.5030  4 Mo 2.99, 4 Tl 3.07, 4 Zr 3.14

Results
As for the relative energy among the computed polymorphs: 0.449 eV per atom. For the density of states at the Fermi level, the calculation gives 4.60 states/eV/f.u. Its formation energy is 352 meV/atom.

---

Record 5
DFT (PBE-GGA) results for a geometry-optimized Zr2TlMo structure.

a b c (Å): 6.8869 6.8869 6.8869
angles (deg): 90.00 90.00 90.00
Last column: nearest neighbours and their distance in Å.
Space group F-43m (No. 216)
Symmetry-distinct sites (fractional):
Zr1 0.0000 0.0000 0.0000  4 Zr 2.98, 4 Tl 2.98
Zr2 0.2500 0.2500 0.2500  4 Zr 2.98, 4 Mo 2.98
Tl1 0.2500 0.2500 0.7500  4 Zr 2.98, 4 Mo 2.98
Mo1 0.0000 0.0000 0.5000  4 Zr 2.98, 4 Tl 2.98

Results
As for the relative energy among the computed polymorphs: 0.348 eV per atom. For the density of states at the Fermi level, the calculation gives 5.63 states/eV/f.u. Its formation energy is 251 meV/atom.

---

Record 6
DFT (PBE-GGA) results for a geometry-optimized Zr2TlMo structure.

a b c (Å): 4.7259 4.7259 3.6882
angles (deg): 90.00 90.00 90.00
Last column: nearest neighbours and their distance in Å.
Space group P4/mmm (No. 123)
Symmetry-distinct sites (fractional):
Zr1 0.0000 0.5000 0.0000  4 Tl 3.00, 4 Mo 3.00, 4 Zr 3.34
Tl1 0.0000 0.0000 0.5000  8 Zr 3.00, 4 Mo 3.34
Mo1 0.5000 0.5000 0.5000  8 Zr 3.00, 4 Tl 3.34

Results
As for the relative energy among the computed polymorphs: 0.109 eV per atom. For the density of states at the Fermi level, the calculation gives 3.33 states/eV/f.u. Its formation energy is 12 meV/atom.